Material: CeCdCu
Method: DFT, GGA-PBE
State: relaxed

abc: 4.704 4.704 4.704
angles: 60.00 60.00 60.00
Site moments in Bohr magnetons follow the coordinates.
Element x y z (fractional)
Cu1 0.250 0.250 0.250  0.00
Ce1 0.000 0.000 0.000  0.76
Cd1 0.500 0.500 0.500  0.03

Results
**DFT formation energy**: -0.0461 eV per atom
**ΔE to the lowest computed polymorph**: 124 meV/atom

Material: Th4TeIrSe2
Method: DFT, GGA-PBE
State: relaxed

abc: 4.169 7.677 7.426
angles: 108.48 90.00 90.00
Element x y z (fractional)
Th1 0.500 0.273 0.257
Th2 0.500 0.727 0.743
Th3 0.000 0.282 0.771
Th4 0.000 0.718 0.229
Te1 0.000 0.000 0.000
Ir1 0.500 0.500 0.000
Se1 0.500 0.000 0.500
Se2 0.000 0.500 0.500

Results
**Energy relative to the elements, uncorrected**: -1.285 eV per atom

Material: RbThIn2Cl8
Method: DFT, GGA-PBE
State: relaxed

abc: 7.008 6.754 9.299
angles: 89.99 89.99 89.49
Element x y z (fractional)
Rb1 0.000 0.000 0.500
Th1 0.000 0.000 0.000
In1 0.500 0.500 0.735
In2 0.500 0.500 0.265
Cl1 0.158 0.773 0.210
Cl2 0.695 0.761 0.000
Cl3 0.842 0.227 0.210
Cl4 0.842 0.227 0.790
Cl5 0.305 0.239 0.000
Cl6 0.158 0.773 0.790
Cl7 0.634 0.704 0.500
Cl8 0.366 0.296 0.500

Results
**Energy relative to the elements, uncorrected**: -1.558 eV per atom

Material: ZrBRh3
Method: DFT, GGA-PBE
State: relaxed

abc: 12.069 7.397 7.397
angles: 113.13 136.92 43.08
Element x y z (fractional)
B1 0.154 0.303 0.511
B2 0.346 0.011 0.803
B3 0.846 0.697 0.489
B4 0.654 0.989 0.197
Rh1 0.332 0.416 0.405
Rh2 0.168 0.905 0.916
Rh3 0.668 0.584 0.595
Rh4 0.832 0.095 0.084
Rh5 0.108 0.288 0.162
Rh6 0.392 0.662 0.788
Rh7 0.892 0.712 0.838
Rh8 0.608 0.338 0.212
Rh9 0.500 0.060 0.783
Rh10 0.000 0.283 0.560
Rh11 0.500 0.940 0.217
Rh12 0.000 0.717 0.440
Zr1 0.750 0.144 0.644
Zr2 0.250 0.856 0.356
Zr3 0.750 0.544 0.044
Zr4 0.250 0.456 0.956

Results
**DFT formation energy**: -0.3849 eV per atom

Material: Li6InSn2
Method: DFT, GGA-PBE
State: relaxed

abc: 5.531 5.532 5.532
angles: 94.30 85.70 85.70
Element x y z (fractional)
Li1 0.168 0.500 0.167
Li2 0.832 0.833 0.500
Li3 0.832 0.500 0.833
Li4 0.500 0.832 0.168
Li5 0.168 0.167 0.500
Li6 0.500 0.168 0.832
In1 0.000 0.000 0.000
Sn1 0.672 0.328 0.328
Sn2 0.328 0.672 0.672

Results
**DFT formation energy**: -0.3332 eV per atom

Material: K3Rb2Au
Method: DFT, GGA-PBE
State: relaxed

abc: 6.587 6.587 9.170
angles: 90.00 90.00 120.00
Element x y z (fractional)
K1 0.667 0.333 0.500
K2 0.000 0.000 0.000
K3 0.000 0.000 0.500
Rb1 0.333 0.667 0.217
Rb2 0.333 0.667 0.783
Au1 0.667 0.333 0.000

Results
**DFT formation energy**: 0.0323 eV per atom
**ΔE to the lowest computed polymorph**: 97 meV/atom

Material: CuCl3
Method: DFT, GGA-PBE
State: relaxed

abc: 7.080 3.858 9.291
angles: 57.65 90.00 90.00
Element x y z (fractional)
Cu1 0.250 0.621 0.612
Cu2 0.750 0.379 0.388
Cl1 0.750 0.477 0.136
Cl2 0.750 0.694 0.530
Cl3 0.750 0.022 0.886
Cl4 0.250 0.523 0.864
Cl5 0.250 0.306 0.470
Cl6 0.250 0.978 0.114

Results
**Energy relative to the elements, uncorrected**: -0.200 eV per atom

Material: La5PmHo
Method: DFT, GGA-PBE
State: relaxed

abc: 7.032 7.032 13.874
angles: 62.75 62.75 59.83
Element x y z (fractional)
La1 0.164 0.398 0.750
La2 0.660 0.687 0.498
La3 0.398 0.164 0.250
La4 0.172 0.828 0.750
La5 0.313 0.340 0.002
La6 0.687 0.660 0.998
La7 0.828 0.172 0.250
La8 0.602 0.836 0.750
La9 0.340 0.313 0.502
La10 0.836 0.602 0.250
Pm1 0.000 0.000 0.000
Pm2 0.000 0.000 0.500
Ho1 0.722 0.278 0.750
Ho2 0.278 0.722 0.250

Results
**DFT formation energy**: 0.1352 eV per atom